Below is a geometry-optimized NaHCO3 structure, with properties calculated at the PBE level. Values from VASP.

```
&SYSTEM
  ibrav = 0, nat = 12, ntyp = 4
/
ATOMIC_SPECIES
Na 22.99 Na.upf
H 1.01 H.upf
C 12.01 C.upf
O 16.00 O.upf
ATOMIC_POSITIONS angstrom
Na 1.700 0.000 0.897
Na 6.973 0.000 4.500
H 4.337 1.080 2.699
H 4.337 -1.080 2.699
C 2.909 0.000 3.910
C 5.764 0.000 1.487
O 3.386 1.137 3.449
O 1.980 0.000 4.763
O 5.287 1.137 1.948
O 3.386 -1.137 3.449
O 6.693 0.000 0.634
O 5.287 -1.137 1.948
CELL_PARAMETERS angstrom
5.011 -2.697 0.000
5.011 2.697 0.000
-1.349 0.000 5.397
```

Values from the calculation:
* energy above the most stable polymorph in this dataset: 0.052 eV per atom
* crystal system: monoclinic
* DOS at the Fermi energy: 0.000 states/eV/atom
* density: 1.913 g/cm3